YAuS2, relaxed, DFT PBE; crystal system = tetragonal; E_form (uncorrected) = -87 kJ per mole of atoms
1.0
4.6043 0.0000 0.0000
0.0000 4.6043 0.0000
0.0000 0.0000 3.5424
Y Au S
1 1 2
Cartesian
0.0000 0.0000 0.0000
2.3021 2.3021 0.0000
0.0000 2.3021 1.7712
2.3021 0.0000 1.7712

=====

YAu3S, relaxed, DFT PBE; crystal system = cubic; E_form (uncorrected) = 78 kJ per mole of atoms
1.0
5.5088 0.0000 0.0000
0.0000 5.5088 0.0000
0.0000 0.0000 5.5088
Y Au S
1 3 1
Cartesian
0.0000 0.0000 0.0000
0.0000 0.0000 2.7544
0.0000 2.7544 0.0000
2.7544 0.0000 0.0000
2.7544 2.7544 2.7544

=====

YAuS2, relaxed, DFT PBE; crystal system = monoclinic; E_form (uncorrected) = -116 kJ per mole of atoms
1.0
4.6461 -6.4329 0.0000
4.6461 6.4329 0.0000
-1.0866 0.0000 12.7845
Y Au S
8 8 16
Cartesian
3.4606 5.1443 11.3897
1.4203 1.7400 11.0859
4.2016 5.1443 7.7871
1.9637 -1.7400 4.6936
6.2419 1.7400 8.0908
4.0039 -5.1443 4.9974
6.7852 -1.7400 1.6986
4.7450 -5.1443 1.3948
2.5839 3.8981 5.3269
2.9142 0.8594 3.0825
6.1650 3.8981 1.0653
2.3709 -0.8594 9.4748
5.8346 0.8594 3.3097
2.0406 -3.8981 11.7192
5.2913 -0.8594 9.7020
5.6217 -3.8981 7.4576
2.0798 3.7852 9.2899
4.3744 5.6251 3.1961
3.9241 3.1225 0.2584
1.3698 0.2405 6.4483
1.9131 -0.2405 0.0561
4.8248 3.1225 6.1338
5.5824 3.7852 9.8868
3.8311 0.9793 9.5884
4.3744 -0.9793 3.1961
2.6232 -3.7852 2.8977
3.3808 -3.1225 6.6507
6.2924 0.2405 12.7284
6.8358 -0.2405 6.3362
4.2814 -3.1225 12.5261
3.8311 -5.6251 9.5884
6.1257 -3.7852 3.4946

=====

YAuS2, relaxed, DFT PBE; crystal system = orthorhombic; E_form (uncorrected) = -100 kJ per mole of atoms
1.0
6.9175 0.0000 0.0000
0.0000 4.0215 0.0000
0.0000 0.0000 14.4628
Y Au S
4 4 8
Cartesian
0.8203 1.0054 1.4040
2.6385 3.0161 8.6354
4.2791 1.0054 5.8274
6.0972 3.0161 13.0588
1.0935 3.0161 3.8155
2.3653 1.0054 11.0469
4.5522 3.0161 3.4159
5.8241 1.0054 10.6473
0.6443 3.0161 10.6772
1.5490 3.0161 14.3571
1.9098 1.0054 7.1257
2.8145 1.0054 3.4458
4.1030 3.0161 11.0171
5.0077 3.0161 7.3372
5.3686 1.0054 0.1057
6.2733 1.0054 3.7856

=====

Uncorrected energy across the listed records, respectively: -5.40, -3.27, -5.70, -5.54 eV/atom.
Calculated volume across the listed records, respectively: 18.77, 33.44, 23.88, 25.15 Å³/atom.